Entry 1:
CrMoO2: relaxed, GGA+U.

Structure (CIF):
```
data_CrMoO2
_chemical_formula_sum 'Cr3 Mo3 O6'
_cell_length_a 3.2123
_cell_length_b 3.2123
_cell_length_c 18.5651
_cell_angle_alpha 90.00
_cell_angle_beta 90.00
_cell_angle_gamma 120.00
_symmetry_space_group_name_H-M 'R -3 m'
_symmetry_Int_Tables_number 166
_symmetry_space_group_name_Hall '-R 3 2"'
loop_
_atom_site_label
_atom_site_type_symbol
_atom_site_fract_x
_atom_site_fract_y
_atom_site_fract_z
Cr1 Cr 0.0000 0.0000 0.0000
Mo1 Mo 0.0000 0.0000 0.5000
O1 O 0.0000 0.0000 0.1072
```

Output
total magnetic moment	9.60	μB per cell
polymorph energy (0 for the lowest one)	0	meV per atom
crystal system	trigonal

***

Entry 2:
Cr2MoO: relaxed, GGA+U.

Structure (CIF):
```
data_Cr2MoO
_chemical_formula_sum 'Cr8 Mo4 O4'
_cell_length_a 6.126
_cell_length_b 6.126
_cell_length_c 8.564
_cell_angle_alpha 90.00
_cell_angle_beta 90.00
_cell_angle_gamma 90.00
_symmetry_space_group_name_H-M 'I -4 2 d'
_symmetry_Int_Tables_number 122
_symmetry_space_group_name_Hall 'I -4 2bw'
loop_
_atom_site_label
_atom_site_type_symbol
_atom_site_fract_x
_atom_site_fract_y
_atom_site_fract_z
Cr1 Cr 0.088 0.250 0.125
Mo1 Mo 0.000 0.000 0.500
O1 O 0.000 0.000 0.000
```

Output
total magnetic moment	15.32	μB per cell
calculated total energy	-107.548	eV/cell
crystal system	tetragonal